(1)
Density functional theory data (PBE-GGA) for a relaxed Sm5YTl6 crystal.

```
Sm5YTl6
1.0
5.187 1.673 0.000
2.851 8.989 0.000
1.425 4.495 8.189
Y Tl Sm
1 6 5
Direct
0.000 0.000 0.000
0.255 0.245 0.000
0.745 0.755 0.000
0.753 0.082 0.330
0.753 0.412 0.670
0.247 0.918 0.670
0.247 0.588 0.330
0.500 0.500 0.000
0.000 0.334 0.332
0.500 0.831 0.337
0.000 0.666 0.668
0.500 0.169 0.663
```

Values from the calculation:
ΔE_f ... -0.38 eV/atom
Symmetry ... No. 12
Total DFT energy (no corrections) ... -4.066 eV/atom

---

(2)
Density functional theory data (PBE-GGA) for a relaxed YAlCdCu crystal.

```
YAlCdCu
1.0
4.791 0.000 0.000
2.395 4.149 0.000
2.395 1.383 3.912
Y Cd Cu Al
1 1 1 1
Direct
0.750 0.750 0.750
0.500 0.500 0.500
0.000 0.000 0.000
0.250 0.250 0.250
```

Values from the calculation:
ΔE_f ... -0.23 eV/atom
Symmetry ... No. 216
Total DFT energy (no corrections) ... -4.034 eV/atom

---

(3)
Density functional theory data (PBE-GGA) for a relaxed InRe2Mo crystal.

```
InRe2Mo
1.0
-2.789 0.060 1.659
1.986 -2.134 3.417
1.154 3.952 1.797
Re In Mo
2 1 1
Direct
0.000 0.000 0.000
0.000 0.500 0.500
0.500 0.500 0.000
0.500 0.000 0.500
```

Values from the calculation:
ΔE_f ... 0.53 eV/atom
Symmetry ... No. 123
Total DFT energy (no corrections) ... -9.082 eV/atom

---

(4)
Density functional theory data (PBE-GGA) for a relaxed Ho2Ga2SbRh5 crystal.

```
Ho2Ga2SbRh5
1.0
-1.584 -2.234 -2.367
6.505 -6.959 2.213
-5.917 -3.286 7.060
Ga Ho Rh Sb
4 4 10 2
Direct
0.000 0.377 0.123
0.000 0.123 0.623
0.000 0.623 0.877
0.000 0.877 0.377
0.000 0.674 0.174
0.000 0.174 0.326
0.000 0.826 0.674
0.000 0.326 0.826
0.500 0.431 0.293
0.500 0.000 0.500
0.500 0.793 0.931
0.500 0.069 0.793
0.500 0.931 0.207
0.500 0.293 0.569
0.500 0.500 0.000
0.500 0.707 0.431
0.500 0.207 0.069
0.500 0.569 0.707
0.000 0.500 0.500
0.000 0.000 0.000
```

Values from the calculation:
Symmetry ... No. 127
Total DFT energy (no corrections) ... -6.439 eV/atom

---

(5)
Density functional theory data (PBE-GGA) for a relaxed AcGaF crystal.

```
AcGaF
1.0
3.936 0.000 -1.187
0.000 4.305 0.001
0.265 -0.001 7.994
Ga F Ac
2 2 2
Direct
0.571 0.116 0.605
0.659 0.615 0.780
0.368 0.615 0.199
0.862 0.115 0.186
0.973 0.615 0.408
0.257 0.115 0.977
```

Values from the calculation:
Energy above the most stable polymorph in this dataset ... 36 meV per atom
Symmetry ... No. 63
Total DFT energy (no corrections) ... -5.109 eV/atom

---

(6)
Density functional theory data (PBE-GGA) for a relaxed CeTm12Co6 crystal.

```
CeTm12Co6
1.0
7.857 0.000 -2.778
-3.928 6.804 -2.778
0.000 0.000 8.333
Ce Tm Co
1 12 6
Direct
0.000 0.000 0.000
0.308 0.501 0.193
0.692 0.885 0.193
0.692 0.499 0.807
0.193 0.692 0.885
0.193 0.308 0.501
0.807 0.308 0.115
0.308 0.115 0.807
0.885 0.193 0.692
0.807 0.692 0.499
0.115 0.807 0.308
0.501 0.193 0.308
0.499 0.807 0.692
0.385 0.500 0.885
0.115 0.615 0.500
0.500 0.885 0.385
0.615 0.500 0.115
0.885 0.385 0.500
0.500 0.115 0.615
```

Values from the calculation:
ΔE_f ... -0.14 eV/atom
Symmetry ... No. 204
Total DFT energy (no corrections) ... -5.525 eV/atom

---

(7)
Density functional theory data (PBE-GGA) for a relaxed Zn2CdPt crystal.

```
Zn2CdPt
1.0
-2.207 -4.362 -1.138
2.999 -3.961 0.714
-1.303 3.942 2.821
Pt Zn Cd
1 2 1
Direct
0.250 0.750 0.500
0.000 0.000 0.000
0.750 0.250 0.500
0.500 0.500 0.000
```

Values from the calculation:
ΔE_f ... -0.28 eV/atom
Symmetry ... No. 119
Total DFT energy (no corrections) ... -2.657 eV/atom

---

(8)
Density functional theory data (PBE-GGA) for a relaxed NdTm8Sn6 crystal.

```
NdTm8Sn6
1.0
-0.903 7.921 -4.094
1.394 0.666 -8.828
-6.061 1.595 -5.386
Tm Sn Nd
8 6 1
Direct
0.333 0.333 0.001
0.893 0.564 0.320
0.667 0.667 0.999
0.107 0.436 0.680
0.436 0.776 0.680
0.564 0.224 0.320
0.776 0.107 0.680
0.224 0.893 0.320
0.592 0.932 0.204
0.068 0.728 0.796
0.408 0.068 0.796
0.932 0.272 0.204
0.728 0.408 0.796
0.272 0.592 0.204
0.000 0.000 0.000
```

Values from the calculation:
ΔE_f ... -0.50 eV/atom
Symmetry ... No. 148
Total DFT energy (no corrections) ... -4.807 eV/atom

---

(9)
Density functional theory data (PBE-GGA) for a relaxed Ho3SbPt crystal.

```
Ho3SbPt
1.0
-4.898 0.753 -2.219
0.152 -5.393 4.479
-0.411 8.209 3.691
Ho Pt Sb
6 2 2
Direct
0.841 0.682 0.341
0.159 0.318 0.659
0.391 0.782 0.104
0.104 0.209 0.238
0.609 0.218 0.896
0.896 0.791 0.762
0.144 0.288 0.958
0.856 0.712 0.042
0.627 0.253 0.448
0.373 0.747 0.552
```

Values from the calculation:
Symmetry ... No. 12
Total DFT energy (no corrections) ... -5.623 eV/atom

---

(10)
Density functional theory data (PBE-GGA) for a relaxed PmNiGeRh crystal.

```
PmNiGeRh
1.0
4.604 0.000 0.000
2.302 3.987 0.000
2.302 1.329 3.759
Pm Rh Ge Ni
1 1 1 1
Direct
0.750 0.750 0.750
0.000 0.000 0.000
0.250 0.250 0.250
0.500 0.500 0.500
```

Values from the calculation:
ΔE_f ... -0.41 eV/atom
Symmetry ... No. 216
Total DFT energy (no corrections) ... -6.037 eV/atom

---

(11)
Density functional theory data (PBE-GGA) for a relaxed LiHg4Pd2 crystal.

```
LiHg4Pd2
1.0
4.696 0.000 0.000
0.000 4.696 0.000
0.000 0.000 6.438
Hg Pd Li
4 2 1
Direct
0.500 0.000 0.742
0.500 0.000 0.258
0.000 0.500 0.258
0.000 0.500 0.742
0.000 0.000 0.000
0.500 0.500 0.500
0.500 0.500 0.000
```

Values from the calculation:
ΔE_f ... -0.19 eV/atom
Energy above the most stable polymorph in this dataset ... 0 meV per atom
Symmetry ... No. 123
Total DFT energy (no corrections) ... -2.122 eV/atom

---

(12)
Density functional theory data (PBE-GGA) for a relaxed IrF3 crystal.

```
IrF3
1.0
1.539 0.000 9.168
-0.769 1.333 9.168
-0.769 -1.333 9.168
F Ir
3 1
Direct
0.069 0.069 0.069
0.931 0.931 0.931
0.500 0.500 0.500
0.000 0.000 0.000
```

Values from the calculation:
Symmetry ... No. 166
Total DFT energy (no corrections) ... -4.135 eV/atom